This record from Alexandria describes a relaxed LiTc2HgSe crystal. The functional is GGA-PBE.

**Formation energy without anion corrections**: 1.285 eV/atom
**Calculated volume**: 88 Å³/cell
**N(E_F)**: 7.6 states/eV per cell
**Mass density**: 9.1 Mg/m³

Unit cell a=4.4782 b=4.4782 c=4.3990 alpha=90.00 beta=90.00 gamma=90.00
With the nearest neighbours (Å) after each atom.
Space group P4/mmm (No. 123)
One atom of each set of equivalent atoms:
1 Li 0.0000 0.0000 0.0000 x1  2 Hg 2.20, 4 Tc 2.24
2 Tc 0.0000 0.5000 0.0000 x2  2 Li 2.24
3 Hg 0.0000 0.0000 0.5000 x1  2 Li 2.20
4 Se 0.5000 0.5000 0.5000 x1  8 Tc 3.14, 4 Hg 3.17

=====

This record from Alexandria describes a relaxed Sm4CuAg3 crystal. The functional is GGA-PBE.

**Energy relative to the lowest polymorph listed for this composition**: 0.000 eV/atom
**Formation energy**: -0.254 eV per atom
**Calculated volume**: 198 Å³/cell
**N(E_F)**: 4.6 states/eV per cell
**Mass density**: 8.3 Mg/m³

Unit cell a=3.6678 b=3.6678 c=14.7501 alpha=90.00 beta=90.00 gamma=90.00
With the nearest neighbours (Å) after each atom.
Space group P4/mmm (No. 123)
One atom of each set of equivalent atoms:
1 Sm 0.0000 0.0000 0.1158 x2  4 Cu 3.11, 4 Ag 3.21, 1 Sm 3.42
2 Sm 0.0000 0.0000 0.3723 x2  8 Ag 3.21
3 Cu 0.5000 0.5000 0.0000 x1  8 Sm 3.11
4 Ag 0.5000 0.5000 0.2446 x2  8 Sm 3.21
5 Ag 0.5000 0.5000 0.5000 x1  8 Sm 3.21

=====

This record from Alexandria describes a relaxed Al2ZnGaAg5 crystal. The functional is GGA-PBE.

**Formation energy**: -0.011 eV per atom
**Calculated volume**: 626 Å³/cell
**N(E_F)**: 11.1 states/eV per cell
**Mass density**: 7.7 Mg/m³

Unit cell a=2.9973 b=16.0655 c=13.0046 alpha=90.00 beta=90.00 gamma=90.00
With the nearest neighbours (Å) after each atom.
Space group Cmc2_1 (No. 36)
One atom of each set of equivalent atoms:
1 Al 0.0000 0.1208 0.0000 x4  8 Ag 2.75-2.88, 2 Al 3.00
2 Al 0.0000 0.1291 0.3283 x4  8 Ag 2.78-2.89, 2 Al 3.00
3 Zn 0.0000 0.3869 0.1519 x4  6 Ag 2.66-2.85, 2 Ga 2.89
4 Ga 0.0000 0.2665 0.6615 x4  5 Ag 2.73-2.94, 2 Zn 2.89, 2 Ga 3.00
5 Ag 0.0000 0.0442 0.8044 x4  2 Zn 2.72, 2 Al 2.80-2.83, 8 Ag 2.90-3.00
6 Ag 0.0000 0.2918 0.9842 x4  1 Zn 2.66, 3 Al 2.75-2.82, 3 Ag 2.87-2.89, 2 Ga 2.90
7 Ag 0.0000 0.3023 0.3361 x4  1 Zn 2.75, 3 Al 2.78-2.88, 6 Ag 2.87-3.00, 2 Ga 2.94
8 Ag 0.0000 0.4362 0.6650 x4  1 Ga 2.73, 4 Al 2.77-2.80, 1 Zn 2.85, 5 Ag 2.91-3.00
9 Ag 0.0000 0.4713 0.9728 x4  1 Zn 2.70, 4 Al 2.85-2.89, 6 Ag 2.89-3.00

=====

This record from Alexandria describes a relaxed Pm7Br12N crystal. The functional is GGA-PBE.

**Formation energy without anion corrections**: -1.695 eV/atom
**Calculated volume**: 1884 Å³/cell
**N(E_F)**: 34.2 states/eV per cell
**Mass density**: 5.3 Mg/m³

Unit cell a=14.7956 b=14.7956 c=9.9364 alpha=90.00 beta=90.00 gamma=120.00
With the nearest neighbours (Å) after each atom.
Space group R-3 (No. 148, hexagonal axes)
One atom of each set of equivalent atoms:
1 Pm 0.0000 0.0000 0.0000 x3  6 Br 2.93
2 Pm 0.0428 0.1562 0.3555 x18  1 N 2.52
3 Br 0.0231 0.5861 0.1642 x18  3 Pm 2.92-3.22
4 Br 0.0508 0.1843 0.8359 x18  3 Pm 2.93-2.97
5 N 0.0000 0.0000 0.5000 x3  6 Pm 2.52

=====

This record from Alexandria describes a relaxed LaNd2F crystal. The functional is GGA-PBE.

**Formation energy without anion corrections**: -1.153 eV/atom
**Calculated volume**: 334 Å³/cell
**N(E_F)**: 9.6 states/eV per cell
**Mass density**: 6.7 Mg/m³

Unit cell a=3.7971 b=3.7971 c=26.7620 alpha=90.00 beta=90.00 gamma=120.00
With the nearest neighbours (Å) after each atom.
Space group R-3m (No. 166, hexagonal axes)
One atom of each set of equivalent atoms:
1 La 0.0000 0.0000 0.0000 x3  6 Nd 3.65, 6 La 3.80
2 Nd 0.0000 0.0000 0.2242 x6  3 F 2.68
3 F 0.0000 0.0000 0.5000 x3  6 Nd 2.68

=====

This record from Alexandria describes a relaxed Rb4La3TiO8 crystal. The functional is GGA-PBE.

**Formation energy without anion corrections**: -2.436 eV/atom
**Calculated volume**: 597 Å³/cell
**N(E_F)**: 4.9 states/eV per cell
**Mass density**: 5.2 Mg/m³

Unit cell a=12.4810 b=7.3019 c=7.7658 alpha=90.00 beta=122.46 gamma=90.00
With the nearest neighbours (Å) after each atom.
Space group C2/m (No. 12)
One atom of each set of equivalent atoms:
1 Rb 0.0000 0.0000 0.0000 x2  6 O 3.03-3.27
2 Rb 0.0000 0.5000 0.0000 x2  6 O 2.92-2.94
3 Rb 0.2500 0.2500 0.0000 x4  6 O 2.93-2.96
4 La 0.0000 0.0000 0.5000 x2  6 O 2.42-2.45
5 La 0.2500 0.2500 0.5000 x4  6 O 2.42-2.52
6 Ti 0.0000 0.5000 0.5000 x2  2 O 2.04
7 O 0.0208 0.2602 0.3200 x8  1 Ti 2.34, 2 La 2.42-2.45
8 O 0.1940 0.5000 0.6618 x4  1 Ti 2.04
9 O 0.2299 0.0000 0.6847 x4  3 La 2.42

=====

This record from Alexandria describes a relaxed Er4Si2Br5 crystal. The functional is GGA-PBE.

**Formation energy without anion corrections**: -1.231 eV/atom
**Calculated volume**: 702 Å³/cell
**N(E_F)**: 9.0 states/eV per cell
**Mass density**: 5.3 Mg/m³

Unit cell a=22.3483 b=3.9212 c=8.0434 alpha=90.00 beta=95.13 gamma=90.00
With the nearest neighbours (Å) after each atom.
Space group C2/m (No. 12)
One atom of each set of equivalent atoms:
1 Er 0.0185 0.0000 0.2881 x4  4 Si 2.90, 3 Br 2.93-3.04
2 Er 0.1620 0.5000 0.4430 x4  1 Si 2.69, 5 Br 2.84-3.01
3 Si 0.0508 0.5000 0.5463 x4  1 Si 2.33
4 Br 0.0000 0.5000 0.0000 x2  4 Er 3.04
5 Br 0.1415 0.0000 0.1881 x4  3 Er 2.84-2.93
6 Br 0.2137 0.0000 0.6734 x4  3 Er 2.87-3.01

=====

This record from Alexandria describes a relaxed LaTb2TcN4 crystal. The functional is GGA-PBE.

**Formation energy without anion corrections**: -1.093 eV/atom
**Calculated volume**: 486 Å³/cell
**N(E_F)**: 8.5 states/eV per cell
**Mass density**: 8.3 Mg/m³

Unit cell a=3.5024 b=11.8473 c=11.7135 alpha=90.00 beta=90.00 gamma=90.00
With the nearest neighbours (Å) after each atom.
Space group Cmcm (No. 63)
One atom of each set of equivalent atoms:
1 La 0.0000 0.1176 0.2500 x4  6 N 2.67-2.81
2 Tb 0.0000 0.3686 0.0403 x8  6 N 2.32-2.57
3 Tc 0.0000 0.1463 0.7500 x4  4 N 1.98-2.00
4 N 0.0000 0.0000 0.0000 x4  4 Tb 2.39
5 N 0.0000 0.2638 0.6269 x8  1 Tc 2.00
6 N 0.0000 0.4325 0.2500 x4  2 Tc 1.98

=====

Look up the N(E_F) of the second one. 4.6 states/eV per cell

=====

Which of these has the lowest calculated volume? LiTc2HgSe